The following is a DFT calculation (PBEsol) of a relaxed Al3InPb crystal.

Cell: 5.1485 5.1485 5.1485 Å, 90.00 90.00 90.00°
Element x y z (fractional)
Pb: 0.5000 0.5000 0.5000
Al: 0.0000 0.5000 0.0000
Al: 0.0000 0.0000 0.5000
Al: 0.5000 0.0000 0.0000
In: 0.0000 0.0000 0.0000

## Properties
SG: Pm-3m (221)
Calculated formation energy: 0.756 eV per atom
Total energy: -15.48 eV/cell